Record 1
Tb5Nd3Cd2 | Alexandria via LeMat-Bulk | PBE | relaxed; DFT formation energy = 0.131 eV/atom; DOS at the Fermi energy = 13.3 states/eV/f.u.; mass density = 7.3 g/cm3
1.0
-0.640 -4.298 5.072
3.246 -9.448 -3.199
8.499 0.748 6.104
Tb Nd Cd
10 6 4
direct
0.250 0.500 0.500
0.750 0.500 0.500
0.510 0.740 0.740
0.990 0.260 0.260
0.490 0.260 0.260
0.010 0.740 0.740
0.099 0.571 0.230
0.901 0.429 0.770
0.599 0.230 0.571
0.401 0.770 0.429
0.250 0.000 0.000
0.750 0.000 0.000
0.361 0.367 0.912
0.639 0.633 0.088
0.861 0.912 0.367
0.139 0.088 0.633
0.136 0.726 0.002
0.864 0.274 0.998
0.636 0.002 0.726
0.364 0.998 0.274



Record 2
Rb2DyInS4 | Alexandria via LeMat-Bulk | PBE | relaxed; mass density = 4.5 g/cm3; energy relative to the elements, uncorrected = -1.258 eV per atom
1.0
-5.949 -3.695 4.776
6.027 -4.645 3.735
0.656 8.424 -0.139
Rb Dy In S
4 2 2 8
direct
0.500 0.000 0.000
0.500 0.000 0.500
0.000 0.000 0.500
0.500 0.500 0.000
0.000 0.500 0.000
0.000 0.500 0.500
0.500 0.500 0.500
0.000 0.000 0.000
0.197 0.732 0.965
0.768 0.303 0.535
0.232 0.697 0.465
0.803 0.268 0.035
0.766 0.734 0.959
0.766 0.734 0.541
0.234 0.266 0.459
0.234 0.266 0.041



Record 3
Mg3In2Hg | Alexandria via LeMat-Bulk | PBE | relaxed; DFT formation energy = -0.131 eV/atom; DOS at the Fermi energy = 1.3 states/eV/f.u.; mass density = 6.1 g/cm3
1.0
3.524 0.000 0.000
0.000 3.524 0.000
0.000 0.000 11.044
Mg In Hg
3 2 1
direct
0.000 0.000 0.000
0.000 0.000 0.654
0.000 0.000 0.346
0.500 0.500 0.829
0.500 0.500 0.171
0.500 0.500 0.500